# 1
Material: AlTcP2
Method: DFT, SCAN
State: single point on PBEsol structure

Unit cell a=3.183 b=3.825 c=4.486 alpha=90.00 beta=90.00 gamma=90.00
Sites, in units of the cell vectors:
1 Al 0.000 0.000 0.000
2 Tc 0.500 0.000 0.500
3 P 0.000 0.500 0.500
4 P 0.500 0.500 0.000

Results
The mass density comes out at 5683 kg/m³. As for the space-group type: Pmmm, No. 47.


# 2
Material: AlTcP2
Method: DFT, SCAN
State: single point on PBEsol structure

Unit cell a=2.901 b=2.901 c=7.405 alpha=90.00 beta=90.00 gamma=113.74
Sites, in units of the cell vectors:
1 Al 0.000 0.000 0.000
2 Tc 0.000 0.000 0.500
3 P 0.500 0.500 0.259
4 P 0.500 0.500 0.741

Results
The mass density comes out at 5440 kg/m³. As for the space-group type: Cmmm, No. 65.


# 3
Material: Al2TcP
Method: DFT, SCAN
State: single point on PBEsol structure

Unit cell a=4.661 b=4.661 c=4.661 alpha=131.88 beta=131.88 gamma=70.42
Sites, in units of the cell vectors:
1 Al 0.000 0.000 0.000
2 Al 0.750 0.250 0.500
3 Tc 0.250 0.750 0.500
4 P 0.500 0.500 0.000

Results
The mass density comes out at 5524 kg/m³. As for the space-group type: I-4m2, No. 119.


# 4
Material: Al2TcP
Method: DFT, SCAN
State: single point on PBEsol structure

Unit cell a=2.773 b=2.773 c=7.536 alpha=90.00 beta=90.00 gamma=90.00
Sites, in units of the cell vectors:
1 Al 0.000 0.000 0.237
2 Al 0.000 0.000 0.763
3 Tc 0.500 0.500 0.000
4 P 0.500 0.500 0.500

Results
The mass density comes out at 5242 kg/m³. As for the space-group type: P4/mmm, No. 123.


# 5
Material: AlTcP2
Method: DFT, SCAN
State: single point on PBEsol structure

Unit cell a=4.322 b=4.434 c=4.434 alpha=42.94 beta=90.00 gamma=90.00
Sites, in units of the cell vectors:
1 Al 0.000 0.000 0.000
2 Tc 0.500 0.589 0.589
3 P 0.000 0.720 0.720
4 P 0.500 0.304 0.304

Results
The mass density comes out at 5361 kg/m³. As for the space-group type: Amm2, No. 38.


# 6
Material: Al2TcP
Method: DFT, SCAN
State: single point on PBEsol structure

Unit cell a=3.257 b=4.051 c=4.162 alpha=90.00 beta=90.00 gamma=90.00
Sites, in units of the cell vectors:
1 Al 0.000 0.000 0.000
2 Al 0.500 0.000 0.500
3 Tc 0.000 0.500 0.500
4 P 0.500 0.500 0.000

Results
The mass density comes out at 5532 kg/m³. As for the space-group type: Pmmm, No. 47.


no.,formation energy (eV/atom)
1,0.210
2,0.191
3,-0.082
4,-0.002
5,-0.257
6,-0.070